# 1
DFT (PBE) results for a relaxed structure of Rb2CuRh3F12.

Properties
Space-group type   R-3m
Formation energy without anion corrections   -1.81 eV/atom
Crystal system   trigonal

a = 7.528 Å, b = 7.528 Å, c = 7.528 Å
α = 59.07°, β = 59.07°, γ = 59.07°
Fractional positions:
Rb1 0.134 0.134 0.134
Rb2 0.866 0.866 0.866
Cu1 0.500 0.500 0.500
Rh1 0.000 0.500 0.500
Rh2 0.500 0.000 0.500
Rh3 0.500 0.500 0.000
F1 0.167 0.577 0.577
F2 0.171 0.171 0.581
F3 0.171 0.581 0.171
F4 0.419 0.829 0.829
F5 0.423 0.423 0.833
F6 0.423 0.833 0.423
F7 0.577 0.167 0.577
F8 0.577 0.577 0.167
F9 0.581 0.171 0.171
F10 0.829 0.419 0.829
F11 0.829 0.829 0.419
F12 0.833 0.423 0.423

# 2
DFT (PBE) results for a relaxed structure of Ca2AlOsW.

Properties
Formation enthalpy at 0 K   1.283 eV per atom
Space-group type   P4/mmm
Crystal system   tetragonal

a = 5.407 Å, b = 5.407 Å, c = 4.762 Å
α = 90.00°, β = 90.00°, γ = 90.00°
Fractional positions:
Ca1 0.000 0.500 0.000
Ca2 0.500 0.000 0.000
Al1 0.000 0.000 0.500
Os1 0.000 0.000 0.000
W1 0.500 0.500 0.500

# 3
DFT (PBE) results for a relaxed structure of LaBeGePd6.

Properties
Formation enthalpy at 0 K   -0.365 eV per atom
Space-group type   Imma
Crystal system   orthorhombic

a = 7.850 Å, b = 7.850 Å, c = 7.850 Å
α = 126.24°, β = 114.95°, γ = 89.25°
Fractional positions:
La1 0.432 0.182 0.250
La2 0.568 0.818 0.750
Be1 0.000 0.500 0.500
Be2 0.500 0.500 0.000
Ge1 0.000 0.000 0.500
Ge2 0.000 0.500 0.000
Pd1 0.113 0.384 0.251
Pd2 0.113 0.862 0.730
Pd3 0.157 0.907 0.250
Pd4 0.311 0.561 0.750
Pd5 0.367 0.138 0.751
Pd6 0.367 0.616 0.230
Pd7 0.633 0.384 0.770
Pd8 0.633 0.862 0.249
Pd9 0.689 0.439 0.250
Pd10 0.843 0.093 0.750
Pd11 0.887 0.138 0.270
Pd12 0.887 0.616 0.749

# 4
DFT (PBE) results for a relaxed structure of SrBePb2.

Properties
Formation enthalpy at 0 K   0.144 eV per atom
Space-group type   C2/m
Crystal system   monoclinic

a = 6.239 Å, b = 6.239 Å, c = 3.614 Å
α = 106.75°, β = 106.75°, γ = 111.41°
Fractional positions:
Sr1 0.000 0.000 0.000
Be1 0.500 0.500 0.000
Pb1 0.305 0.695 0.500
Pb2 0.695 0.305 0.500

# 5
DFT (PBE) results for a relaxed structure of NaNi2H.

Properties
Energy above the most stable polymorph in this dataset   0.919 eV per atom
Space-group type   Fm-3m
Crystal system   cubic

a = 4.044 Å, b = 4.044 Å, c = 4.044 Å
α = 60.00°, β = 60.00°, γ = 60.00°
Fractional positions:
Na1 0.000 0.000 0.000
Ni1 0.250 0.250 0.250
Ni2 0.750 0.750 0.750
H1 0.500 0.500 0.500

# 6
DFT (PBE) results for a relaxed structure of KBaNb2Rh.

Properties
Formation enthalpy at 0 K   2.429 eV per atom
Space-group type   P4/mmm
Crystal system   tetragonal

a = 4.734 Å, b = 4.734 Å, c = 5.676 Å
α = 90.00°, β = 90.00°, γ = 90.00°
Fractional positions:
K1 0.000 0.000 0.000
Ba1 0.000 0.000 0.500
Nb1 0.000 0.500 0.000
Nb2 0.500 0.000 0.000
Rh1 0.500 0.500 0.500

# 7
DFT (PBE) results for a relaxed structure of Sr3Ce2ZrP6.

Properties
Formation enthalpy at 0 K   -1.264 eV per atom
Space-group type   C2/m
Crystal system   monoclinic

a = 7.148 Å, b = 7.148 Å, c = 7.320 Å
α = 99.38°, β = 99.38°, γ = 120.00°
Fractional positions:
Sr1 0.000 0.000 0.000
Sr2 0.332 0.668 0.000
Sr3 0.668 0.332 0.000
Ce1 0.166 0.834 0.500
Ce2 0.834 0.166 0.500
Zr1 0.500 0.500 0.500
P1 0.107 0.428 0.285
P2 0.251 0.251 0.715
P3 0.428 0.107 0.285
P4 0.572 0.893 0.715
P5 0.749 0.749 0.285
P6 0.893 0.572 0.715

# 8
DFT (PBE) results for a relaxed structure of Ba3Sn2Ge.

Properties
Formation enthalpy at 0 K   -0.589 eV per atom
Space-group type   Pnma
Crystal system   orthorhombic

a = 13.890 Å, b = 4.816 Å, c = 14.066 Å
α = 90.00°, β = 90.00°, γ = 90.00°
Fractional positions:
Ba1 0.074 0.250 0.117
Ba2 0.110 0.750 0.549
Ba3 0.199 0.250 0.792
Ba4 0.301 0.750 0.292
Ba5 0.390 0.250 0.049
Ba6 0.426 0.750 0.617
Ba7 0.574 0.250 0.383
Ba8 0.610 0.750 0.951
Ba9 0.699 0.250 0.708
Ba10 0.801 0.750 0.208
Ba11 0.890 0.250 0.451
Ba12 0.926 0.750 0.883
Sn1 0.036 0.750 0.314
Sn2 0.207 0.750 0.988
Sn3 0.293 0.250 0.488
Sn4 0.464 0.250 0.814
Sn5 0.536 0.750 0.186
Sn6 0.707 0.750 0.512
Sn7 0.793 0.250 0.012
Sn8 0.964 0.250 0.686
Ge1 0.150 0.250 0.346
Ge2 0.350 0.750 0.846
Ge3 0.650 0.250 0.154
Ge4 0.850 0.750 0.654